Record 1
Compound: Dy2SbS
Source: the Alexandria database
Functional: PBE
Structure: relaxed

The structure belongs to space group R-3m (No. 166, hexagonal axes); the cell edges are 4.1402, 4.1402 and 20.4336 Å and the angles 90.00°, 90.00° and 120.00°. The distinct sites, in fractional coordinates, are Dy at (0.0000, 0.0000, 0.2415), Sb at (0.0000, 0.0000, 0.0000) and S at (0.0000, 0.0000, 0.5000).

As for the crystal system: trigonal. For the magnetization, the calculation gives 0.0 μB/cell. Its relative energy among the computed polymorphs is 0 meV per atom.

=====

Record 2
Compound: DySb2S4
Source: the Alexandria database
Functional: PBE
Structure: relaxed

The structure belongs to space group Cmcm (No. 63); the cell edges are 4.1178, 12.7598 and 12.8392 Å and the angles 90.00°, 90.00° and 90.00°. The distinct sites, in fractional coordinates, are Dy at (0.0000, 0.1239, 0.2500), Sb at (0.0000, 0.3765, 0.0608), S at (0.0000, 0.0000, 0.0000), S at (0.0000, 0.2777, 0.6223) and S at (0.0000, 0.4830, 0.2500).

As for the crystal system: orthorhombic. For the magnetization, the calculation gives 0.0 μB/cell. As for the electronic total energy: -4.906 eV/atom.

=====

Record 3
Compound: Dy4SbSe2S
Source: the Alexandria database
Functional: PBE
Structure: relaxed

The structure belongs to space group Imma (No. 74); the cell edges are 8.2138, 8.2765 and 11.6732 Å and the angles 90.00°, 90.00° and 90.00°. The distinct sites, in fractional coordinates, are Dy at (0.0000, 0.0176, 0.2447), Dy at (0.2386, 0.2500, 0.0100), Sb at (0.0000, 0.0000, 0.5000), Se at (0.0000, 0.0000, 0.0000), Se at (0.2500, 0.2500, 0.7500) and S at (0.2500, 0.2500, 0.2500).

As for the crystal system: orthorhombic. For the magnetization, the calculation gives 0.0 μB/cell. As for the electronic total energy: -5.836 eV/atom.

=====

Record 4
Compound: Dy3Tl4SbS8
Source: the Alexandria database
Functional: PBE
Structure: relaxed

The structure belongs to space group R-3m (No. 166, hexagonal axes); the cell edges are 8.0830, 8.0830 and 22.4604 Å and the angles 90.00°, 90.00° and 120.00°. The distinct sites, in fractional coordinates, are Dy at (0.0000, 0.5000, 0.0000), Tl at (0.0000, 0.0000, 0.5000), Tl at (0.0000, 0.5000, 0.5000), Sb at (0.0000, 0.0000, 0.0000), S at (0.0000, 0.0000, 0.2674) and S at (0.0012, 0.5006, 0.2672).

As for the crystal system: trigonal. For the magnetization, the calculation gives 0.0 μB/cell. As for the electronic total energy: -4.975 eV/atom.

=====

Record 5
Compound: DyTl3Sb2S6
Source: the Alexandria database
Functional: PBE
Structure: relaxed

The structure belongs to space group C2/m (No. 12); the cell edges are 7.0223, 12.1652 and 7.7906 Å and the angles 90.00°, 107.49° and 90.00°. The distinct sites, in fractional coordinates, are Dy at (0.0000, 0.0000, 0.0000), Tl at (0.0000, 0.1664, 0.5000), Tl at (0.0000, 0.5000, 0.5000), Sb at (0.0000, 0.3336, 0.0000), S at (0.2329, 0.1657, 0.2012) and S at (0.2350, 0.5000, 0.1998).

As for the crystal system: monoclinic. For the magnetization, the calculation gives 0.0 μB/cell. As for the electronic total energy: -4.438 eV/atom.

=====

Record 6
Compound: DyTl2SbS4
Source: the Alexandria database
Functional: PBE
Structure: relaxed

The structure belongs to space group Imma (No. 74); the cell edges are 8.3152, 8.4806 and 11.8881 Å and the angles 90.00°, 90.00° and 90.00°. The distinct sites, in fractional coordinates, are Dy at (0.2500, 0.2500, 0.2500), Tl at (0.0000, 0.0000, 0.0000), Tl at (0.2500, 0.2500, 0.7500), Sb at (0.0000, 0.0000, 0.5000), S at (0.0000, 0.0332, 0.2652) and S at (0.2227, 0.2500, 0.4836).

As for the crystal system: orthorhombic. For the magnetization, the calculation gives 0.0 μB/cell. As for the electronic total energy: -4.617 eV/atom.

=====

Record 7
Compound: DyTmSbS
Source: the Alexandria database
Functional: PBE
Structure: relaxed

The structure belongs to space group R3m (No. 160, hexagonal axes); the cell edges are 4.0221, 4.0221 and 21.8378 Å and the angles 90.00°, 90.00° and 120.00°. The distinct sites, in fractional coordinates, are Dy at (0.0000, 0.0000, 0.0000), Tm at (0.0000, 0.0000, 0.1611), Sb at (0.0000, 0.0000, 0.5785) and S at (0.0000, 0.0000, 0.7509).

As for the crystal system: trigonal. For the magnetization, the calculation gives 1.5 μB/cell. As for the electronic total energy: -5.668 eV/atom.

=====

Record 8
Compound: Dy3ScS4
Source: the Alexandria database
Functional: PBE
Structure: relaxed

The structure belongs to space group Pm-3m (No. 221); the cell edges are 5.4643, 5.4643 and 5.4643 Å and the angles 90.00°, 90.00° and 90.00°. The distinct sites, in fractional coordinates, are Dy at (0.0000, 0.0000, 0.5000), Sc at (0.5000, 0.5000, 0.5000), S at (0.0000, 0.0000, 0.0000) and S at (0.0000, 0.5000, 0.5000).

As for the crystal system: cubic. For the magnetization, the calculation gives 0.0 μB/cell. Its relative energy among the computed polymorphs is 17 meV per atom.